(1)
Density functional theory data (PBE) for ErZn2SiNi2 after structural relaxation.

space-group type	P4/mmm
raw total energy	-4.30	eV per atom
magnetic moment	0.00	μB per formula unit
Fermi-level density of states	0.759	states/eV per atom
uncorrected formation energy	-0.281	eV per atom

Structure (extended XYZ):
```
6
Lattice="4.2648 0.0000 0.0000 0.0000 4.2648 0.0000 0.0000 0.0000 5.4895" Properties=species:S:1:pos:R:3 pbc="T T T"
Er 0.0000 0.0000 2.7447
Zn 2.1324 2.1324 4.0307
Zn 2.1324 2.1324 1.4587
Si 0.0000 0.0000 0.0000
Ni 2.1324 0.0000 0.0000
Ni 0.0000 2.1324 0.0000
```

---

(2)
Density functional theory data (PBE) for TePdPtRh after structural relaxation.

space-group type	F-43m
raw total energy	-5.47	eV per atom
magnetic moment	0.00	μB per formula unit
Fermi-level density of states	0.957	states/eV per atom
uncorrected formation energy	-0.039	eV per atom

Structure (extended XYZ):
```
4
Lattice="4.5699 0.0000 0.0000 2.2850 3.9577 0.0000 2.2850 1.3192 3.7313" Properties=species:S:1:pos:R:3 pbc="T T T"
Te 2.2850 1.3192 0.9328
Rh 0.0000 0.0000 0.0000
Pd 4.5699 2.6384 1.8657
Pt 6.8549 3.9577 2.7985
```

---

(3)
Density functional theory data (PBE) for Ba2GaGe4Au3 after structural relaxation.

energy of formation from the pure elements	-0.4956	eV/atom
space-group type	P-4m2
raw total energy	-4.01	eV per atom
magnetic moment	0.00	μB per formula unit
Fermi-level density of states	0.417	states/eV per atom

Structure (extended XYZ):
```
10
Lattice="4.6494 0.0000 0.0000 0.0000 4.6494 0.0000 0.0000 0.0000 10.8491" Properties=species:S:1:pos:R:3 pbc="T T T"
Ba 2.3247 0.0000 2.7137
Ba 0.0000 2.3247 8.1354
Ga 2.3247 2.3247 5.4245
Ge 2.3247 2.3247 0.0000
Ge 0.0000 0.0000 0.0000
Ge 2.3247 0.0000 6.8446
Ge 0.0000 2.3247 4.0044
Au 0.0000 0.0000 5.4245
Au 2.3247 0.0000 9.4862
Au 0.0000 2.3247 1.3628
```

---

(4)
Density functional theory data (PBE) for CaTaIr2 after structural relaxation.

energy of formation from the pure elements	-0.0083	eV/atom
space-group type	I-4m2
raw total energy	-7.90	eV per atom
magnetic moment	0.00	μB per formula unit
Fermi-level density of states	0.796	states/eV per atom
distance to the lowest polymorph of the same formula	0.4730	eV per atom

Structure (extended XYZ):
```
4
Lattice="-1.6015 -4.9388 -1.3066 3.3162 -2.9928 -2.9513 0.3064 2.9772 4.4392" Properties=species:S:1:pos:R:3 pbc="T T T"
Ca -0.2188 -2.9637 0.5018
Ir 0.0000 0.0000 0.0000
Ir 2.2400 -1.9907 -0.3205
Ta 0.8574 -3.9658 -2.1290
```

---

(5)
Density functional theory data (PBE) for NaHg3F after structural relaxation.

space-group type	Pm-3m
raw total energy	-1.24	eV per atom
magnetic moment	0.00	μB per formula unit
Fermi-level density of states	0.003	states/eV per atom
distance to the lowest polymorph of the same formula	0.0000	eV per atom
uncorrected formation energy	-0.425	eV per atom

Structure (extended XYZ):
```
5
Lattice="-2.7142 -4.4687 -1.3204 3.3907 -0.8459 -4.1070 3.1962 -2.8974 3.2356" Properties=species:S:1:pos:R:3 pbc="T T T"
Na 1.9364 -4.1060 -1.0959
Hg 1.6954 -0.4229 -2.0535
Hg 1.5981 -1.4487 1.6178
Hg -1.3571 -2.2344 -0.6602
F 0.0000 0.0000 0.0000
```

---

(6)
Density functional theory data (PBE) for Tl2CuNi after structural relaxation.

energy of formation from the pure elements	0.3687	eV/atom
space-group type	Cmmm
raw total energy	-3.28	eV per atom
magnetic moment	0.00	μB per formula unit
Fermi-level density of states	0.405	states/eV per atom

Structure (extended XYZ):
```
4
Lattice="3.3774 0.2235 0.0000 0.0340 3.3846 0.0000 0.0000 0.0000 6.3947" Properties=species:S:1:pos:R:3 pbc="T T T"
Cu 1.7057 1.8040 1.5987
Ni 1.7057 1.8040 4.7960
Tl 0.0000 0.0000 6.3492
Tl 0.0000 0.0000 3.2429
```

---

(7)
Density functional theory data (PBE) for CaMn2C3 after structural relaxation.

energy of formation from the pure elements	0.0844	eV/atom
space-group type	Cmcm
raw total energy	-7.92	eV per atom
magnetic moment	2.46	μB per formula unit
Fermi-level density of states	0.447	states/eV per atom

Structure (extended XYZ):
```
12
Lattice="4.9579 0.0000 0.0000 0.0000 5.8001 -3.1091 0.0000 -0.6655 5.7232" Properties=species:S:1:pos:R:3 pbc="T T T"
Ca 3.7184 1.2935 2.4131
Ca 1.2395 3.8411 0.2009
Mn 2.4790 1.1042 -0.5919
Mn 2.4790 4.6959 -2.5172
Mn 0.0000 4.6959 -2.5172
Mn 0.0000 1.1042 -0.5919
C 1.2395 2.5585 3.2950
C 3.7184 2.5762 -0.6809
C 3.7184 3.8069 -1.3407
C 1.2395 1.3277 3.9548
C 1.2395 0.3410 0.6361
C 3.7184 4.7937 1.9780
```

---

(8)
Density functional theory data (PBE) for RbLi2Ag after structural relaxation.

energy of formation from the pure elements	0.0091	eV/atom
space-group type	R-3m
raw total energy	-1.90	eV per atom
magnetic moment	0.00	μB per formula unit
Fermi-level density of states	0.529	states/eV per atom

Structure (extended XYZ):
```
4
Lattice="4.7695 0.0000 0.0000 2.3847 4.1305 0.0000 2.3847 1.3768 6.3998" Properties=species:S:1:pos:R:3 pbc="T T T"
Rb 0.0000 0.0000 0.0000
Ag 4.7695 2.7537 3.1999
Li 2.3848 1.3768 2.7540
Li 7.1542 4.1305 3.6458
```

---

The highest raw total energy belongs to which entry?
NaHg3F

---

Which value of Fermi-level density of states does entry 6 give?
0.405 states/eV per atom